# 1
Compound: PbSe2BrN
Source: Alexandria
Functional: meta-GGA SCAN
Structure: single point on PBEsol structure

Cell lengths 5.3315, 5.3315, 3.8159 Å; angles 90.00, 90.00, 90.00 degrees
With the nearest neighbours (Å) after each atom.
Positions (direct):
Pb  0.0000  0.0000  0.0000  8 Se 3.28
Se  0.0000  0.5000  0.5000  2 Br 2.67
Se  0.5000  0.0000  0.5000  2 Br 2.67
Br  0.5000  0.5000  0.5000  2 N 1.91
N  0.5000  0.5000  0.0000  2 Br 1.91

## Properties
E above lowest polymorph, eV/f.u.: 0.00
Formation energy from raw total energies, eV/atom: 1.076
Total magnetization, μB per atom: 0.23


# 2
Compound: PbSe2BrN
Source: Alexandria
Functional: meta-GGA SCAN
Structure: single point on PBEsol structure

Cell lengths 5.4717, 5.4717, 5.7355 Å; angles 90.00, 90.00, 90.00 degrees
With the nearest neighbours (Å) after each atom.
Positions (direct):
Pb  0.0000  0.0000  0.0000  4 Se 2.74, 2 Br 2.87
Se  0.0000  0.5000  0.0000  2 Pb 2.74
Se  0.5000  0.0000  0.0000  2 Pb 2.74
Br  0.0000  0.0000  0.5000  2 Pb 2.87
N  0.5000  0.5000  0.5000  4 Br 3.87, 8 Se 3.96

## Properties
E above lowest polymorph, eV/f.u.: 0.59
Formation energy from raw total energies, eV/atom: 1.195
Total magnetization, μB per atom: 0.99


# 3
Compound: YPdBrN2
Source: Alexandria
Functional: meta-GGA SCAN
Structure: single point on PBEsol structure

Cell lengths 4.3716, 4.3716, 5.5594 Å; angles 90.00, 90.00, 90.00 degrees
With the nearest neighbours (Å) after each atom.
Positions (direct):
Y  0.0000  0.0000  0.0000  4 N 2.19
Pd  0.5000  0.5000  0.5000  4 Br 3.09
Br  0.0000  0.0000  0.5000  2 Y 2.78, 4 Pd 3.09
N  0.0000  0.5000  0.0000  2 Y 2.19
N  0.5000  0.0000  0.0000  2 Y 2.19

## Properties
Formation energy from raw total energies, eV/atom: 0.657
Total magnetization, μB per atom: 0.80